# 1
VASP calculation (PBE) on an optimized crystal structure of La2Sm7Y3.

Calculated values
Density of states at the Fermi level   16.27 states/eV per cell
Energy of formation   0.0855 eV/atom
Distance to the lowest polymorph of the same formula   18.7 meV per atom

Lattice parameters (Å, degrees): 5.9329 3.6478 19.0915 90.00 93.59 90.00
With the nearest neighbours (Å) after each atom.
Space group P2/m (No. 10)
Unique sites:
La: 0.2026 0.0000 0.2963 x2  3 Sm 3.18-3.45
Sm: 0.1798 0.5000 0.1426 x2  2 Y 3.39, 7 Sm 3.42-3.65, 2 La 3.45
Sm: 0.2416 0.0000 0.4633 x2  1 La 3.18, 2 Sm 3.27-3.29
Sm: 0.3198 0.0000 0.8250 x2  8 Sm 3.51-3.90, 2 La 3.75-3.77
Sm: 0.5000 0.5000 0.0000 x1  4 Sm 3.42-3.65, 4 Y 3.48
Y: 0.0000 0.0000 0.0000 x1  8 Sm 3.39-3.48, 2 Y 3.65
Y: 0.2831 0.5000 0.6298 x2  2 Y 3.65, 6 Sm 3.66-3.94, 4 La 3.75-3.76

=====

# 2
VASP calculation (PBE) on an optimized crystal structure of Tm4ThPb.

Calculated values
Density of states at the Fermi level   28.53 states/eV per cell
Energy of formation   -0.0125 eV/atom

Lattice parameters (Å, degrees): 8.9354 14.0356 6.2458 90.00 110.66 90.00
With the nearest neighbours (Å) after each atom.
Space group C2/c (No. 15)
Unique sites:
Tm: 0.1084 0.1874 0.0548 x8  2 Pb 3.18-3.20, 3 Tm 3.34-3.53, 2 Th 3.38-3.45
Tm: 0.2070 0.3908 0.3592 x8  2 Pb 3.27-3.30, 4 Tm 3.37-3.61, 3 Th 3.52-3.60
Th: 0.0000 0.3911 0.7500 x4  10 Tm 3.38-3.60
Pb: 0.0000 0.0008 0.7500 x4  2 Pb 3.12, 8 Tm 3.18-3.30

=====

# 3
VASP calculation (PBE) on an optimized crystal structure of Ti2Zn5Ge.

Calculated values
Density of states at the Fermi level   7.16 states/eV per cell
Energy of formation   -0.2986 eV/atom

Lattice parameters (Å, degrees): 5.5902 11.1711 3.8532 90.00 90.00 90.00
With the nearest neighbours (Å) after each atom.
Space group Pbam (No. 55)
Unique sites:
Ti: 0.2239 0.1161 0.0000 x4  2 Ge 2.64, 10 Zn 2.79-2.83
Zn: 0.0000 0.5000 0.5000 x2  6 Zn 2.74, 4 Ti 2.79, 2 Ge 2.80
Zn: 0.0226 0.7450 0.5000 x4  7 Zn 2.66-2.80, 4 Ti 2.79-2.83, 1 Ge 2.85
Zn: 0.2212 0.3655 0.0000 x4  6 Zn 2.66-2.75, 4 Ti 2.79-2.82, 2 Ge 2.90
Ge: 0.0000 0.0000 0.5000 x2  4 Ti 2.64, 8 Zn 2.80-2.90

=====

# 4
VASP calculation (PBE) on an optimized crystal structure of LaCu3Pt.

Calculated values
Density of states at the Fermi level   0.26 states/eV per cell
Energy of formation   1.5451 eV/atom
Distance to the lowest polymorph of the same formula   1504.4 meV per atom

Lattice parameters (Å, degrees): 4.9536 4.9536 4.9536 90.00 90.00 90.00
With the nearest neighbours (Å) after each atom.
Space group Pm-3m (No. 221)
Unique sites:
La: 0.0000 0.0000 0.0000 x1  6 Cu 2.48
Cu: 0.0000 0.0000 0.5000 x3  2 La 2.48
Pt: 0.5000 0.5000 0.5000 x1  12 Cu 3.50

=====

# 5
VASP calculation (PBE) on an optimized crystal structure of PrHoInGa.

Calculated values
Density of states at the Fermi level   2.17 states/eV per cell
Energy of formation   -0.5183 eV/atom
Distance to the lowest polymorph of the same formula   0.0 meV per atom

Lattice parameters (Å, degrees): 3.7060 3.7060 7.5788 90.00 90.00 90.00
With the nearest neighbours (Å) after each atom.
Space group P4mm (No. 99)
Unique sites:
Pr: 0.0000 0.0000 0.0000 x1  4 Ga 3.25, 4 In 3.37, 1 Ho 3.58
Ho: 0.0000 0.0000 0.4728 x1  4 Ga 3.10, 4 In 3.23
In: 0.5000 0.5000 0.7209 x1  4 Ho 3.23, 4 Pr 3.37, 1 Ga 3.53
Ga: 0.5000 0.5000 0.2545 x1  4 Ho 3.10, 4 Pr 3.25

=====

# 6
VASP calculation (PBE) on an optimized crystal structure of HfThSb.

Calculated values
Density of states at the Fermi level   8.74 states/eV per cell
Raw formation energy   -27.7 kJ/mol of atoms

Lattice parameters (Å, degrees): 4.2841 4.2841 9.5833 90.00 90.00 90.00
With the nearest neighbours (Å) after each atom.
Space group P4/nmm (No. 129, origin choice 2)
Unique sites:
Hf: 0.2500 0.2500 0.0575 x2  1 Sb 3.00, 4 Hf 3.22, 1 Th 3.29
Th: 0.2500 0.2500 0.7138 x2  5 Sb 3.14-3.29, 1 Hf 3.29
Sb: 0.2500 0.2500 0.3706 x2  1 Hf 3.00, 5 Th 3.14-3.29

=====

# 7
VASP calculation (PBE) on an optimized crystal structure of CsTa2S.

Calculated values
Density of states at the Fermi level   10.78 states/eV per cell
Raw formation energy   89.8 kJ/mol of atoms

Lattice parameters (Å, degrees): 5.1152 5.1152 17.9202 90.00 90.00 90.00
With the nearest neighbours (Å) after each atom.
Space group I4_1/amd (No. 141, origin choice 2)
Unique sites:
Cs: 0.0000 0.2500 0.3750 x4  4 S 3.62, 8 Ta 3.63
Ta: 0.0000 0.0000 0.0000 x8  2 Ta 2.56, 2 S 2.58
S: 0.0000 0.2500 0.8750 x4  4 Ta 2.58

=====

# 8
VASP calculation (PBE) on an optimized crystal structure of KScTl4.

Calculated values
Density of states at the Fermi level   5.92 states/eV per cell
Energy of formation   -0.0882 eV/atom
Distance to the lowest polymorph of the same formula   0.0 meV per atom

Lattice parameters (Å, degrees): 5.5726 5.0955 12.7132 90.00 95.22 90.00
With the nearest neighbours (Å) after each atom.
Space group C2/m (No. 12)
Unique sites:
K: 0.0000 0.0000 0.0000 x2  8 Tl 3.64-3.85, 4 K 3.78
Sc: 0.0000 0.5000 0.5000 x2  6 Tl 3.06-3.11
Tl: 0.0207 0.0000 0.3611 x4  3 Sc 3.06-3.11, 3 Tl 3.21-3.23
Tl: 0.0335 0.5000 0.2053 x4  3 Tl 3.21-3.23

=====

# 9
VASP calculation (PBE) on an optimized crystal structure of LaMnHg.

Calculated values
Density of states at the Fermi level   5.13 states/eV per cell
Energy of formation   0.0314 eV/atom

Lattice parameters (Å, degrees): 3.5331 3.5331 11.6870 90.00 90.00 90.00
With the nearest neighbours (Å) after each atom.
Space group I4mm (No. 107)
Unique sites:
La: 0.0000 0.0000 0.0000 x2  4 Mn 3.25, 5 Hg 3.44-3.48, 4 La 3.53
Mn: 0.0000 0.0000 0.6781 x2  4 Hg 2.86
Hg: 0.0000 0.0000 0.2977 x2  4 Mn 2.86

=====

# 10
VASP calculation (PBE) on an optimized crystal structure of Te4Au2Br3.

Calculated values
Density of states at the Fermi level   13.65 states/eV per cell
Raw formation energy   -5.5 kJ/mol of atoms

Lattice parameters (Å, degrees): 14.2496 15.0126 6.7810 90.00 111.31 90.00
With the nearest neighbours (Å) after each atom.
Space group C2/c (No. 15)
Unique sites:
Te: 0.0728 0.2430 0.4527 x8  2 Au 2.77-2.79, 1 Te 2.78
Te: 0.2125 0.4880 0.9183 x8  2 Br 2.61-2.84, 1 Au 2.63
Au: 0.2420 0.3395 0.4763 x8  3 Te 2.63-2.79, 1 Au 2.71
Br: 0.0000 0.4665 0.7500 x4  2 Te 2.84
Br: 0.1053 0.0781 0.9508 x8  1 Te 2.61

=====

# 11
VASP calculation (PBE) on an optimized crystal structure of TaMnGeRh.

Calculated values
Density of states at the Fermi level   12.84 states/eV per cell
Energy of formation   -0.2283 eV/atom

Lattice parameters (Å, degrees): 6.1250 6.1250 6.1250 90.00 90.00 90.00
With the nearest neighbours (Å) after each atom.
Space group F-43m (No. 216)
Unique sites:
Ta: 0.0000 0.0000 0.0000 x4  4 Rh 2.65, 4 Mn 2.65
Mn: 0.2500 0.2500 0.2500 x4  4 Ge 2.65, 4 Ta 2.65
Ge: 0.0000 0.0000 0.5000 x4  4 Mn 2.65, 4 Rh 2.65
Rh: 0.2500 0.2500 0.7500 x4  4 Ge 2.65, 4 Ta 2.65

=====

# 12
VASP calculation (PBE) on an optimized crystal structure of Ni2SnAs3.

Calculated values
Density of states at the Fermi level   6.47 states/eV per cell
Energy of formation   -0.0315 eV/atom

Lattice parameters (Å, degrees): 3.6793 7.6295 8.1998 90.00 90.00 90.00
With the nearest neighbours (Å) after each atom.
Space group Amm2 (No. 38)
Unique sites:
Ni: 0.0000 0.0000 0.0000 x2  4 As 2.32-2.36
Ni: 0.5000 0.0000 0.4559 x2  5 As 2.26-2.40
Sn: 0.5000 0.0000 0.7694 x2  3 Ni 2.57-2.64
As: 0.0000 0.1964 0.4973 x4  3 Ni 2.32-2.40
As: 0.5000 0.0000 0.1799 x2  3 Ni 2.26-2.36

=====

# 13
VASP calculation (PBE) on an optimized crystal structure of Nd3YPb5.

Calculated values
Density of states at the Fermi level   17.98 states/eV per cell
Energy of formation   -0.4853 eV/atom

Lattice parameters (Å, degrees): 9.7243 9.7243 6.6448 90.00 90.00 120.00
With the nearest neighbours (Å) after each atom.
Space group P6_3/mcm (No. 193)
Unique sites:
Nd: 0.0000 0.3817 0.2500 x6  9 Pb 3.25-3.46
Y: 0.0000 0.0000 0.0000 x2  6 Pb 3.22, 2 Y 3.32
Pb: 0.0000 0.2836 0.7500 x6  2 Y 3.22, 5 Nd 3.25-3.46
Pb: 0.3333 0.6667 0.0000 x4  2 Pb 3.32, 6 Nd 3.46

=====

# 14
VASP calculation (PBE) on an optimized crystal structure of Be4TcGe.

Calculated values
Density of states at the Fermi level   21.26 states/eV per cell
Energy of formation   -0.1004 eV/atom

Lattice parameters (Å, degrees): 6.2015 6.2015 6.2015 90.00 90.00 90.00
With the nearest neighbours (Å) after each atom.
Space group F-43m (No. 216)
Unique sites:
Be: 0.1227 0.1227 0.1227 x16  6 Be 2.15-2.23
Tc: 0.2500 0.2500 0.7500 x4  12 Be 2.57, 4 Ge 2.69
Ge: 0.0000 0.0000 0.5000 x4  12 Be 2.58, 4 Tc 2.69

=====

# 15
VASP calculation (PBE) on an optimized crystal structure of Tb4ZnSeS2.

Calculated values
Density of states at the Fermi level   2.87 states/eV per cell
Raw formation energy   -145.8 kJ/mol of atoms

Lattice parameters (Å, degrees): 7.0216 3.9457 7.0245 90.00 108.51 90.00
With the nearest neighbours (Å) after each atom.
Space group P2/m (No. 10)
Unique sites:
Tb: 0.2417 0.0000 0.2380 x2  3 S 2.79-2.83, 1 Zn 2.87, 2 Se 2.91
Tb: 0.2526 0.5000 0.7591 x2  3 S 2.81, 2 Zn 2.88, 1 Se 2.89
Zn: 0.0000 0.0000 0.5000 x1  6 Tb 2.87-2.88
Se: 0.5000 0.5000 0.5000 x1  6 Tb 2.89-2.91
S: 0.0000 0.5000 0.0000 x1  6 Tb 2.79-2.81
S: 0.5000 0.0000 0.0000 x1  6 Tb 2.81-2.83

=====

# 16
VASP calculation (PBE) on an optimized crystal structure of Cu4Ni5Pt4.

Calculated values
Density of states at the Fermi level   34.44 states/eV per cell
Energy of formation   -0.0870 eV/atom

Lattice parameters (Å, degrees): 9.4261 9.4261 3.7429 90.00 90.00 90.00
With the nearest neighbours (Å) after each atom.
Space group I4/m (No. 87)
Unique sites:
Cu: 0.0776 0.6104 0.0000 x8  5 Cu 2.54-2.60, 4 Pt 2.60-2.69, 3 Ni 2.64-2.70
Ni: 0.0000 0.0000 0.0000 x2  4 Pt 2.56, 8 Ni 2.60
Ni: 0.0399 0.8133 0.5000 x8  4 Ni 2.54-2.60, 5 Pt 2.60-2.69, 3 Cu 2.64-2.70
Pt: 0.1470 0.2285 0.0000 x8  6 Ni 2.56-2.69, 4 Cu 2.60-2.69, 2 Pt 2.73

=====

# 17
VASP calculation (PBE) on an optimized crystal structure of CaPr2Au8.

Calculated values
Density of states at the Fermi level   7.77 states/eV per cell
Energy of formation   -0.6635 eV/atom

Lattice parameters (Å, degrees): 8.0169 15.4333 5.2711 90.00 129.78 90.00
With the nearest neighbours (Å) after each atom.
Space group C2/m (No. 12)
Unique sites:
Ca: 0.0000 0.0000 0.0000 x2  6 Au 3.08-3.36
Pr: 0.0000 0.3155 0.5000 x4  12 Au 3.09-3.24
Au: 0.0000 0.1997 0.0000 x4  1 Ca 3.08, 4 Pr 3.09-3.18, 6 Au 3.10-3.24
Au: 0.0034 0.5000 0.2534 x4  6 Au 2.64-2.95
Au: 0.2274 0.1313 0.7370 x8  5 Au 2.81-3.10

=====

# 18
VASP calculation (PBE) on an optimized crystal structure of NaTl2Pb2.

Calculated values
Density of states at the Fermi level   4.86 states/eV per cell
Energy of formation   0.0469 eV/atom
Distance to the lowest polymorph of the same formula   129.9 meV per atom

Lattice parameters (Å, degrees): 4.7079 4.7079 15.3454 90.00 90.00 90.00
With the nearest neighbours (Å) after each atom.
Space group I4/mmm (No. 139)
Unique sites:
Na: 0.0000 0.0000 0.0000 x2  8 Pb 3.68
Tl: 0.0000 0.5000 0.2500 x4  4 Pb 3.28, 4 Tl 3.33
Pb: 0.0000 0.0000 0.3985 x4  1 Pb 3.12, 4 Tl 3.28

=====

# 19
VASP calculation (PBE) on an optimized crystal structure of PdPbI6.

Calculated values
Density of states at the Fermi level   15.64 states/eV per cell
Raw formation energy   -19.8 kJ/mol of atoms

Lattice parameters (Å, degrees): 7.1797 7.1797 20.6768 90.00 90.00 120.00
With the nearest neighbours (Å) after each atom.
Space group R-3 (No. 148, hexagonal axes)
Unique sites:
Pd: 0.0000 0.0000 0.0000 x3  6 I 2.73
Pb: 0.0000 0.0000 0.5000 x3  6 I 3.28
I: 0.0046 0.6267 0.5906 x18  1 Pd 2.73

=====

# 20
VASP calculation (PBE) on an optimized crystal structure of TaInW2.

Calculated values
Density of states at the Fermi level   4.95 states/eV per cell
Energy of formation   0.4200 eV/atom

Lattice parameters (Å, degrees): 4.0654 4.0654 8.5447 90.00 90.00 90.00
With the nearest neighbours (Å) after each atom.
Space group I-4m2 (No. 119)
Unique sites:
Ta: 0.0000 0.0000 0.0000 x2  8 W 2.87-2.95, 4 In 2.95
In: 0.0000 0.5000 0.2500 x2  8 W 2.87-2.95, 4 Ta 2.95
W: 0.0000 0.0000 0.5000 x2  4 Ta 2.87, 4 W 2.95, 4 In 2.95
W: 0.0000 0.5000 0.7500 x2  4 In 2.87, 4 Ta 2.95, 4 W 2.95

=====

# 21
VASP calculation (PBE) on an optimized crystal structure of Na2MgGa4Ge3.

Calculated values
Density of states at the Fermi level   3.40 states/eV per cell
Energy of formation   -0.0855 eV/atom

Lattice parameters (Å, degrees): 4.4704 4.4704 10.9528 90.00 90.00 90.00
With the nearest neighbours (Å) after each atom.
Space group P-4m2 (No. 115)
Unique sites:
Na: 0.0000 0.5000 0.2469 x2  8 Ga 3.38-3.51, 6 Ge 3.41-3.56, 2 Mg 3.56
Mg: 0.0000 0.0000 0.5000 x1  4 Ga 2.73
Ga: 0.0000 0.0000 0.0000 x1  4 Ge 2.65
Ga: 0.0000 0.5000 0.6427 x2  3 Ge 2.50-2.73, 2 Mg 2.73
Ga: 0.5000 0.5000 0.0000 x1  4 Ge 2.65
Ge: 0.0000 0.5000 0.8705 x2  5 Ga 2.50-2.65
Ge: 0.5000 0.5000 0.5000 x1  4 Ga 2.73

=====

# 22
VASP calculation (PBE) on an optimized crystal structure of LaCdGa2Au5.

Calculated values
Density of states at the Fermi level   3.14 states/eV per cell
Energy of formation   -0.3415 eV/atom

Lattice parameters (Å, degrees): 5.0185 5.0185 7.7045 90.00 90.00 90.00
With the nearest neighbours (Å) after each atom.
Space group P4/mmm (No. 123)
Unique sites:
La: 0.0000 0.0000 0.0000 x1  12 Au 3.18-3.55
Cd: 0.0000 0.0000 0.5000 x1  8 Au 3.15
Ga: 0.5000 0.5000 0.3396 x2  1 Ga 2.47, 5 Au 2.60-2.62
Au: 0.0000 0.5000 0.2535 x4  2 Ga 2.60
Au: 0.5000 0.5000 0.0000 x1  2 Ga 2.62

=====

# 23
VASP calculation (PBE) on an optimized crystal structure of KCaRh.

Calculated values
Density of states at the Fermi level   2.38 states/eV per cell
Energy of formation   0.8414 eV/atom

Lattice parameters (Å, degrees): 6.9820 6.9820 6.9820 90.00 90.00 90.00
With the nearest neighbours (Å) after each atom.
Space group F-43m (No. 216)
Unique sites:
K: 0.0000 0.0000 0.0000 x4  4 Ca 3.02, 4 Rh 3.02
Ca: 0.2500 0.2500 0.7500 x4  4 K 3.02
Rh: 0.2500 0.2500 0.2500 x4  4 K 3.02